# InTeBr GGA-PBEsol relaxed
data_InTeBr
_chemical_formula_sum 'In4 Te4 Br4'
_cell_length_a 7.317
_cell_length_b 7.519
_cell_length_c 8.398
_cell_angle_alpha 90.00
_cell_angle_beta 117.90
_cell_angle_gamma 90.00
_symmetry_space_group_name_H-M 'P 1 21/c 1'
_symmetry_Int_Tables_number 14
_symmetry_space_group_name_Hall '-P 2ybc'
loop_
_atom_site_label
_atom_site_type_symbol
_atom_site_fract_x
_atom_site_fract_y
_atom_site_fract_z
In1 In 0.023 0.203 0.385
Te1 Te 0.224 0.629 0.943
Br1 Br 0.319 0.092 0.088
# M_tot: 0.00 μB per cell
# Formation energy (no corrections): -516 meV/atom


# Ta2ZnBr GGA-PBEsol relaxed
data_Ta2ZnBr
_chemical_formula_sum 'Ta4 Zn2 Br2'
_cell_length_a 2.994
_cell_length_b 5.114
_cell_length_c 9.208
_cell_angle_alpha 90.00
_cell_angle_beta 90.00
_cell_angle_gamma 90.00
_symmetry_space_group_name_H-M 'I m m m'
_symmetry_Int_Tables_number 71
_symmetry_space_group_name_Hall '-I 2 2'
loop_
_atom_site_label
_atom_site_type_symbol
_atom_site_fract_x
_atom_site_fract_y
_atom_site_fract_z
Ta1 Ta 0.000 0.000 0.247
Zn1 Zn 0.000 0.500 0.000
Br1 Br 0.000 0.500 0.500
# M_tot: 0.00 μB per cell
# Formation energy (no corrections): 485 meV/atom
# ΔE to the lowest computed polymorph: 0.163 eV/atom


# Se2Br GGA-PBEsol relaxed
data_Se2Br
_chemical_formula_sum 'Se4 Br2'
_cell_length_a 6.209
_cell_length_b 8.470
_cell_length_c 3.584
_cell_angle_alpha 90.00
_cell_angle_beta 90.00
_cell_angle_gamma 90.00
_symmetry_space_group_name_H-M 'P n n m'
_symmetry_Int_Tables_number 58
_symmetry_space_group_name_Hall '-P 2 2n'
loop_
_atom_site_label
_atom_site_type_symbol
_atom_site_fract_x
_atom_site_fract_y
_atom_site_fract_z
Se1 Se 0.142 0.076 0.000
Br1 Br 0.000 0.500 0.000
# M_tot: 0.00 μB per cell
# Formation energy (no corrections): 210 meV/atom
# ΔE to the lowest computed polymorph: 0.265 eV/atom


# CaTe2P GGA-PBEsol relaxed
data_CaTe2P
_chemical_formula_sum 'Ca1 Te2 P1'
_cell_length_a 4.265
_cell_length_b 4.265
_cell_length_c 6.169
_cell_angle_alpha 90.00
_cell_angle_beta 90.00
_cell_angle_gamma 90.00
_symmetry_space_group_name_H-M 'P 4 m m'
_symmetry_Int_Tables_number 99
_symmetry_space_group_name_Hall 'P 4 -2'
loop_
_atom_site_label
_atom_site_type_symbol
_atom_site_fract_x
_atom_site_fract_y
_atom_site_fract_z
Ca1 Ca 0.000 0.000 0.000
Te1 Te 0.000 0.000 0.502
Te2 Te 0.500 0.500 0.060
P1 P 0.500 0.500 0.476
# M_tot: 0.00 μB per cell
# Formation energy (no corrections): -545 meV/atom